5
Lattice="6.845 0.000 0.000 0.000 6.845 0.000 0.000 0.000 4.393" Properties=species:S:1:pos:R:3 comment="CsPbI2O PBE relaxed" energy_ry_per_atom=-0.1857 e_form_raw_ev_per_atom=-0.002 pbc="T T T"
Cs 0.000 0.000 0.000
I 0.000 3.423 0.000
Pb 3.423 3.423 2.197
O 0.000 0.000 2.197
I 3.423 0.000 0.000